No. 1
Below is BaCa2Ni after structural relaxation, with properties calculated at the GGA-PBE level.

```
BaCa2Ni
1.0
3.670 0.070 0.000
-0.061 3.670 0.000
0.000 0.000 10.077
Ca Ni Ba
2 1 1
Cartesian
0.000 0.000 0.892 Ca
0.000 0.000 4.146 Ca
1.804 1.870 2.519 Ni
1.804 1.870 7.558 Ba
```

Computed properties:
- Total magnetization: 0.00 μB per formula unit
- Energy above the lowest structure with this stoichiometry: 0.014 eV/atom
- E_form: 20 kJ/mol of formula units
- Electronic total energy: -11.50 eV for the cell shown
- SG: Cmmm


No. 2
Below is CeZrH3 after structural relaxation, with properties calculated at the GGA-PBE level.

```
CeZrH3
1.0
5.448 0.000 0.000
0.000 6.704 -0.028
0.000 -2.688 6.555
H Ce Zr
12 4 4
Cartesian
0.609 0.124 1.078 H
5.067 3.775 2.574 H
2.115 3.476 1.064 H
0.381 0.241 3.953 H
2.343 3.593 3.939 H
5.337 2.264 0.613 H
3.333 0.540 5.463 H
2.835 5.617 0.599 H
4.838 3.892 5.449 H
0.111 1.752 5.913 H
2.613 -1.600 5.927 H
3.105 0.423 2.588 H
1.435 5.277 2.485 Ce
4.013 -1.261 4.041 Ce
4.158 2.092 4.027 Ce
1.289 1.925 2.500 Ce
1.376 0.157 5.794 Zr
4.072 3.859 0.733 Zr
1.348 3.509 5.780 Zr
4.100 0.507 0.747 Zr
```

Computed properties:
- Total magnetization: 0.62 μB per formula unit
- Electronic total energy: -106.56 eV for the cell shown
- SG: P2_1/c


No. 3
Below is CeSmNp2N4 after structural relaxation, with properties calculated at the GGA-PBE level.

```
CeSmNp2N4
1.0
-0.731 3.322 -0.842
-2.427 -1.866 -5.254
-4.315 0.138 4.289
N Ce Np Sm
4 1 2 1
Cartesian
-2.175 1.216 -0.607 N
-3.707 -0.351 1.831 N
-5.298 0.378 -1.200 N
-3.035 -1.377 -2.796 N
0.000 0.000 0.000 Ce
-3.371 -0.864 -0.482 Np
-2.523 1.730 1.723 Np
-1.579 0.728 -3.048 Sm
```

Computed properties:
- Total magnetization: 6.84 μB per formula unit
- Formation energy from raw total energies: -1.30 eV per atom
- Electronic total energy: -80.25 eV for the cell shown
- SG: P2/m


No. 4
Below is Nb6VS after structural relaxation, with properties calculated at the GGA-PBE level.

```
Nb6VS
1.0
-2.740 -3.555 1.959
2.724 -2.542 4.213
-1.504 3.656 3.971
Nb S V
6 1 1
Cartesian
-0.936 0.461 2.170 Nb
-0.584 -2.901 7.973 Nb
-1.233 -4.133 5.385 Nb
-0.570 -0.199 7.513 Nb
-0.950 -2.241 2.630 Nb
-0.288 1.692 4.758 Nb
0.000 0.000 0.000 S
-0.760 -1.220 5.072 V
```

Computed properties:
- Total magnetization: 0.00 μB per formula unit
- Formation energy from raw total energies: -0.07 eV per atom
- Electronic total energy: -74.22 eV for the cell shown
- SG: P-1


No. 5
Below is Ac2C2Cl after structural relaxation, with properties calculated at the GGA-PBE level.

```
Ac2C2Cl
1.0
4.410 0.000 0.000
0.000 7.007 0.199
-2.205 -1.670 7.501
C Ac Cl
4 4 2
Cartesian
0.606 -0.568 3.363 C
-0.606 2.935 3.463 C
1.599 5.905 4.337 C
2.811 2.401 4.237 C
-0.876 4.793 5.452 Ac
3.081 0.543 2.248 Ac
1.329 4.047 2.348 Ac
0.876 1.290 5.352 Ac
0.899 1.752 0.050 Cl
3.511 5.255 0.150 Cl
```

Computed properties:
- Total magnetization: 0.00 μB per formula unit
- Formation energy from raw total energies: -0.79 eV per atom
- Electronic total energy: -64.90 eV for the cell shown
- SG: C2/c


No. 6
Below is ScMnTl2 after structural relaxation, with properties calculated at the GGA-PBE level.

```
ScMnTl2
1.0
-3.177 1.836 2.803
-2.537 -3.843 -0.359
1.941 -1.584 3.238
Tl Mn Sc
2 1 1
Cartesian
-2.857 -1.003 1.222 Tl
0.000 0.000 0.000 Tl
-0.618 0.126 3.020 Mn
-0.298 -2.713 1.439 Sc
```

Computed properties:
- Total magnetization: 3.92 μB per formula unit
- E_form: 37 kJ/mol of formula units
- Electronic total energy: -19.85 eV for the cell shown
- SG: P4/mmm